Record 1
! TcTe2CI GGA-PBE optimized geometry; values from VASP
! E_form (uncorrected) = 155 kJ per mole of atoms
! spin magnetization = 0.000 μB/atom
! space group = P4/mmm (123)
&SYSTEM
  ibrav = 0, nat = 5, ntyp = 4
/
ATOMIC_SPECIES
I 126.90 I.upf
C 12.01 C.upf
Te 127.60 Te.upf
Tc 98.00 Tc.upf
CELL_PARAMETERS angstrom
4.6411 0.0000 0.0000
0.0000 4.6411 0.0000
0.0000 0.0000 4.7705
ATOMIC_POSITIONS crystal
I 0.0000 0.0000 0.5000
C 0.0000 0.0000 0.0000
Te 0.0000 0.5000 0.0000
Te 0.5000 0.0000 0.0000
Tc 0.5000 0.5000 0.5000

Record 2
! TaCd GGA-PBE optimized geometry; values from VASP
! electronic total energy = -5.92 eV/atom
! spin magnetization = 0.000 μB/atom
! space group = Cmcm (63)
&SYSTEM
  ibrav = 0, nat = 4, ntyp = 2
/
ATOMIC_SPECIES
Cd 112.41 Cd.upf
Ta 180.95 Ta.upf
CELL_PARAMETERS angstrom
2.8484 0.0000 0.0000
-1.4242 5.7946 0.0000
0.0000 0.0000 4.8340
ATOMIC_POSITIONS crystal
Cd 0.1800 0.3601 0.2500
Cd 0.8200 0.6399 0.7500
Ta 0.4452 0.8904 0.2500
Ta 0.5548 0.1096 0.7500

Record 3
! BeSb2TeH GGA-PBE optimized geometry; values from VASP
! electronic total energy = -2.85 eV/atom
! spin magnetization = 0.146 μB/atom
! space group = P4/mmm (123)
&SYSTEM
  ibrav = 0, nat = 5, ntyp = 4
/
ATOMIC_SPECIES
Sb 121.76 Sb.upf
Te 127.60 Te.upf
H 1.01 H.upf
Be 9.01 Be.upf
CELL_PARAMETERS angstrom
-4.5792 0.2304 1.7146
0.2208 -4.7341 1.2257
1.7705 1.2629 4.5587
ATOMIC_POSITIONS crystal
Sb 0.0000 0.5000 0.0000
Sb 0.5000 0.0000 0.0000
Te 0.0000 0.0000 0.5000
H 0.5000 0.5000 0.5000
Be 0.0000 0.0000 0.0000

Record 4
! Ce2Er3Tm8 GGA-PBE optimized geometry; values from VASP
! electronic total energy = -4.44 eV/atom
! spin magnetization = 0.171 μB/atom
! space group = C2/m (12)
&SYSTEM
  ibrav = 0, nat = 13, ntyp = 3
/
ATOMIC_SPECIES
Ce 140.12 Ce.upf
Er 167.26 Er.upf
Tm 168.93 Tm.upf
CELL_PARAMETERS angstrom
-3.2791 -1.0785 5.7490
-8.2685 -4.3460 -0.3919
-1.1240 -8.8360 2.8409
ATOMIC_POSITIONS crystal
Ce 0.4812 0.2166 0.2166
Ce 0.5188 0.7834 0.7834
Er 0.5000 0.0000 0.0000
Er 0.0000 0.1733 0.8267
Er 0.0000 0.8267 0.1733
Tm 0.0648 0.5816 0.5816
Tm 0.9352 0.4184 0.4184
Tm 0.0072 0.1911 0.1911
Tm 0.9928 0.8089 0.8089
Tm 0.5592 0.5651 0.1998
Tm 0.5592 0.1998 0.5651
Tm 0.4408 0.8002 0.4349
Tm 0.4408 0.4349 0.8002

Record 5
! TbSm12Ni6 GGA-PBE optimized geometry; values from VASP
! electronic total energy = -5.24 eV/atom
! spin magnetization = 0.000 μB/atom
! space group = Im-3 (204)
&SYSTEM
  ibrav = 0, nat = 19, ntyp = 3
/
ATOMIC_SPECIES
Tb 158.93 Tb.upf
Sm 150.36 Sm.upf
Ni 58.69 Ni.upf
CELL_PARAMETERS angstrom
8.1950 0.0000 -2.8974
-4.0975 7.0970 -2.8974
0.0000 0.0000 8.6921
ATOMIC_POSITIONS crystal
Tb 0.0000 0.0000 0.0000
Sm 0.3116 0.1268 0.8152
Sm 0.3116 0.4964 0.1848
Sm 0.6884 0.5036 0.8152
Sm 0.6884 0.8732 0.1848
Sm 0.1268 0.8152 0.3116
Sm 0.4964 0.1848 0.3116
Sm 0.5036 0.8152 0.6884
Sm 0.8732 0.1848 0.6884
Sm 0.8152 0.3116 0.1268
Sm 0.1848 0.3116 0.4964
Sm 0.8152 0.6884 0.5036
Sm 0.1848 0.6884 0.8732
Ni 0.3782 0.5000 0.8782
Ni 0.6218 0.5000 0.1218
Ni 0.5000 0.8782 0.3782
Ni 0.5000 0.1218 0.6218
Ni 0.8782 0.3782 0.5000
Ni 0.1218 0.6218 0.5000

Record 6
! RbCe2PaO8 GGA-PBE optimized geometry; values from VASP
! E_form (uncorrected) = -285 kJ per mole of atoms
! spin magnetization = 0.000 μB/atom
! space group = P2/m (10)
&SYSTEM
  ibrav = 0, nat = 12, ntyp = 4
/
ATOMIC_SPECIES
Rb 85.47 Rb.upf
Ce 140.12 Ce.upf
Pa 231.04 Pa.upf
O 16.00 O.upf
CELL_PARAMETERS angstrom
-2.8565 -1.9657 1.5851
3.4336 -3.9851 1.6800
1.2162 4.1322 7.3155
ATOMIC_POSITIONS crystal
Rb 0.0000 0.0000 0.5000
Ce 0.5000 0.5000 0.7757
Ce 0.5000 0.5000 0.2243
Pa 0.0000 0.0000 0.0000
O 0.0099 0.7450 0.2112
O 0.5072 0.7603 0.0000
O 0.9901 0.2550 0.2112
O 0.9901 0.2550 0.7888
O 0.4928 0.2397 0.0000
O 0.0099 0.7450 0.7888
O 0.5799 0.6179 0.5000
O 0.4201 0.3821 0.5000